The following is a PBE with a Hubbard U calculation of a relaxed KHfCoO2 crystal, from Alexandria.

Values from the calculation:
Density: 5.63 g/cm3
Fermi-level density of states: 0.042 states/eV/atom
DFT total energy: -31.541 eV/f.u.

CIF file:
```
data_KHfCoO2
_cell_length_a 4.185
_cell_length_b 4.185
_cell_length_c 5.199
_cell_angle_alpha 90.00
_cell_angle_beta 90.00
_cell_angle_gamma 90.00
_space_group_name_H-M_alt 'P 4/m m m'
_space_group_IT_number 123
_space_group_name_Hall '-P 4 2'
loop_
_atom_site_label
_atom_site_fract_x
_atom_site_fract_y
_atom_site_fract_z
K1 0.000 0.000 0.000
Hf1 0.500 0.500 0.500
Co1 0.500 0.500 0.000
O1 0.000 0.500 0.500
```